1.
Here is an optimized crystal structure of LaYNiHg from the Alexandria database. Energies are from PBE.

Cell lengths 5.200, 5.200, 5.200 Å; angles 60.00, 60.00, 60.00 degrees
Sites, in units of the cell vectors:
Y1 0.250 0.250 0.250
Hg1 0.500 0.500 0.500
Ni1 0.000 0.000 0.000
La1 0.750 0.750 0.750

Properties
* SG: No. 216
* D(E_F): 0.939 states/eV/atom
* total DFT energy (no corrections): -4.671 eV/atom
* energy of formation: -0.30 eV/atom

---

2.
Here is an optimized crystal structure of KTlCr from the Alexandria database. Energies are from PBE.

Cell lengths 5.353, 5.353, 5.353 Å; angles 60.00, 60.00, 60.00 degrees
Site moments in Bohr magnetons follow the coordinates.
Sites, in units of the cell vectors:
K1 0.500 0.500 0.500  0.01
Cr1 0.000 0.000 0.000  4.12
Tl1 0.750 0.750 0.750  0.02

Properties
* SG: No. 216
* E above lowest polymorph: 0.2953 eV/atom
* D(E_F): 0.713 states/eV/atom
* total DFT energy (no corrections): -3.524 eV/atom
* energy of formation: 0.84 eV/atom